## Sr3V3Bi2O14 (PBE with a Hubbard U)

Data for an optimized crystal structure of Sr3V3Bi2O14.

Calculated values
E_tot   -6.8644 eV per atom
Density of states at the Fermi level   8.5 states/eV/cell
Total moment   0.0 μB per formula unit

Cell: 7.1070 7.3523 14.0126 Å, 97.40 96.64 108.79°
Last column: nearest neighbours and their distance in Å.
Space group P-1 (No. 2)
Unique sites:
Sr: 0.2363 0.3417 0.3184 [2 per cell]  7 O 2.53-2.71
Sr: 0.2430 0.9072 0.0558 [2 per cell]  7 O 2.52-2.70
Sr: 0.2599 0.8030 0.5478 [2 per cell]  7 O 2.54-2.75
V: 0.2327 0.8443 0.2909 [2 per cell]  4 O 1.72-1.78
V: 0.2383 0.3840 0.0570 [2 per cell]  4 O 1.72-1.76
V: 0.3043 0.3389 0.5820 [2 per cell]  4 O 1.71-1.78
Bi: 0.2538 0.6232 0.8147 [2 per cell]  5 O 2.18-2.41
Bi: 0.2563 0.0909 0.8018 [2 per cell]  4 O 2.14-2.33
O: 0.0184 0.3781 0.1014 [2 per cell]  1 V 1.74
O: 0.0741 0.6180 0.3046 [2 per cell]  1 V 1.73
O: 0.1003 0.9668 0.2230 [2 per cell]  1 V 1.78
O: 0.1254 0.3263 0.4835 [2 per cell]  1 V 1.74
O: 0.1492 0.7995 0.7206 [2 per cell]  2 Bi 2.14-2.19
O: 0.1576 0.1768 0.9635 [2 per cell]  1 V 1.76
O: 0.2184 0.1353 0.6397 [2 per cell]  1 V 1.76
O: 0.3383 0.5934 0.0099 [2 per cell]  1 V 1.72
O: 0.3489 0.9954 0.4004 [2 per cell]  1 V 1.72
O: 0.3673 0.5641 0.6630 [2 per cell]  1 V 1.78
O: 0.3767 0.9205 0.8967 [2 per cell]  2 Bi 2.18-2.22
O: 0.3936 0.3387 0.1515 [2 per cell]  1 V 1.76
O: 0.4065 0.8116 0.2169 [2 per cell]  1 V 1.76
O: 0.4670 0.6529 0.4479 [2 per cell]  1 V 1.71